Entry 1:
KRbIn4 | the Alexandria database | PBE | relaxed; polymorph energy (0 for the lowest one) = 0.00 kJ/mol of atoms; energy of formation from the pure elements = -0.574 eV per formula unit
1.0
0.0000 4.6219 4.6219
4.6219 0.0000 4.6219
4.6219 4.6219 0.0000
K Rb In
1 1 4
direct
0.0000 0.0000 0.0000 K
0.7500 0.7500 0.7500 Rb
0.3749 0.3749 0.3749 In
0.3749 0.3749 0.8753 In
0.3749 0.8753 0.3749 In
0.8753 0.3749 0.3749 In

Entry 2:
OsPt2Pb | the Alexandria database | PBE | relaxed; energy of formation from the pure elements = 1.326 eV per formula unit
1.0
2.9342 0.0000 0.0000
0.0000 2.9342 0.0000
0.0000 0.0000 8.4725
Os Pt Pb
1 2 1
direct
0.0000 0.0000 0.0000 Os
0.5000 0.5000 0.2077 Pt
0.5000 0.5000 0.7923 Pt
0.0000 0.0000 0.5000 Pb

Entry 3:
Al3C5 | the Alexandria database | PBE | relaxed; polymorph energy (0 for the lowest one) = 89.87 kJ/mol of atoms; energy of formation from the pure elements = 12.102 eV per formula unit
1.0
4.4213 0.0000 0.0000
0.0000 7.8484 0.0000
0.0000 0.0000 4.2731
Al C
6 10
direct
0.0000 0.0000 0.0000 Al
0.0000 0.3336 0.5000 Al
0.0000 0.6664 0.5000 Al
0.5000 0.1664 0.5000 Al
0.5000 0.5000 0.0000 Al
0.5000 0.8336 0.5000 Al
0.0000 0.5000 0.0000 C
0.1506 0.0000 0.5000 C
0.2500 0.2500 0.0000 C
0.2500 0.7500 0.0000 C
0.3494 0.5000 0.5000 C
0.5000 0.0000 0.0000 C
0.6506 0.5000 0.5000 C
0.7500 0.2500 0.0000 C
0.7500 0.7500 0.0000 C
0.8494 0.0000 0.5000 C

Entry 4:
Hf3S | the Alexandria database | PBE | relaxed; polymorph energy (0 for the lowest one) = 2.30 kJ/mol of atoms; formation energy without anion corrections = -2.71 eV per formula unit
1.0
-5.3906 5.3906 2.6056
5.3906 -5.3906 2.6056
5.3906 5.3906 -2.6056
Hf S
12 4
direct
0.0626 0.3708 0.4828 Hf
0.0940 0.2123 0.8434 Hf
0.2295 0.6961 0.8961 Hf
0.3039 0.2000 0.5334 Hf
0.3689 0.2506 0.1566 Hf
0.4202 0.9374 0.3081 Hf
0.6292 0.1120 0.6919 Hf
0.6666 0.7705 0.4666 Hf
0.7494 0.9060 0.1183 Hf
0.7877 0.6311 0.8817 Hf
0.8000 0.3334 0.1039 Hf
0.8880 0.5798 0.5172 Hf
0.2395 0.4860 0.1752 S
0.3108 0.0643 0.8248 S
0.5140 0.6892 0.7535 S
0.9357 0.7605 0.2465 S

Entry 5:
SrCaPt2 | the Alexandria database | PBE | relaxed; polymorph energy (0 for the lowest one) = 11.95 kJ/mol of atoms; energy of formation from the pure elements = -2.797 eV per formula unit
1.0
4.4284 0.0000 0.0000
-2.2142 3.8351 0.0000
0.0000 0.0000 22.2300
Sr Ca Pt
3 3 6
direct
0.0000 0.0000 0.0000 Sr
0.3333 0.6667 0.6667 Sr
0.6667 0.3333 0.3333 Sr
0.0000 0.0000 0.1709 Ca
0.3333 0.6667 0.8376 Ca
0.6667 0.3333 0.5043 Ca
0.0000 0.0000 0.4245 Pt
0.0000 0.0000 0.7581 Pt
0.3333 0.6667 0.0911 Pt
0.3333 0.6667 0.4248 Pt
0.6667 0.3333 0.0914 Pt
0.6667 0.3333 0.7578 Pt

Entry 6:
KLiInGa | the Alexandria database | PBE | relaxed; energy of formation from the pure elements = -0.143 eV per formula unit
1.0
7.3390 0.0000 0.0000
0.0000 7.3390 0.0000
0.0000 0.0000 7.3390
K Li In Ga
4 4 4 4
direct
0.0000 0.0000 0.0000 K
0.0000 0.5000 0.5000 K
0.5000 0.0000 0.5000 K
0.5000 0.5000 0.0000 K
0.2500 0.2500 0.2500 Li
0.2500 0.7500 0.7500 Li
0.7500 0.2500 0.7500 Li
0.7500 0.7500 0.2500 Li
0.0000 0.0000 0.5000 In
0.0000 0.5000 0.0000 In
0.5000 0.0000 0.0000 In
0.5000 0.5000 0.5000 In
0.2500 0.2500 0.7500 Ga
0.2500 0.7500 0.2500 Ga
0.7500 0.2500 0.2500 Ga
0.7500 0.7500 0.7500 Ga

Entry 7:
CsNaAsPd | the Alexandria database | PBE | relaxed; energy of formation from the pure elements = -1.345 eV per formula unit
1.0
4.4737 0.0000 0.0000
-2.2368 3.8743 0.0000
0.0000 0.0000 21.6134
Cs Na As Pd
3 3 3 3
direct
0.0000 0.0000 0.0000 Cs
0.3333 0.6667 0.6667 Cs
0.6667 0.3333 0.3333 Cs
0.0000 0.0000 0.8163 Na
0.3333 0.6667 0.4830 Na
0.6667 0.3333 0.1496 Na
0.0000 0.0000 0.2153 As
0.3333 0.6667 0.8820 As
0.6667 0.3333 0.5487 As
0.0000 0.0000 0.5467 Pd
0.3333 0.6667 0.2133 Pd
0.6667 0.3333 0.8800 Pd

Entry 8:
Ti6Ga2N | the Alexandria database | PBE | relaxed; polymorph energy (0 for the lowest one) = 0.00 kJ/mol of atoms; formation energy without anion corrections = -6.08 eV per formula unit
1.0
-2.9124 2.9124 3.9819
2.9124 -2.9124 3.9819
2.9124 2.9124 -3.9819
Ti Ga N
6 2 1
direct
0.2369 0.2369 0.0000 Ti
0.2477 0.2477 0.4954 Ti
0.2477 0.7523 0.0000 Ti
0.7523 0.2477 0.0000 Ti
0.7523 0.7523 0.5046 Ti
0.7631 0.7631 0.0000 Ti
0.2500 0.7500 0.5000 Ga
0.7500 0.2500 0.5000 Ga
0.5000 0.5000 0.0000 N

Entry 9:
Sr2In3Au5 | the Alexandria database | PBE | relaxed; energy of formation from the pure elements = -5.005 eV per formula unit
1.0
2.3254 -13.4595 0.0000
2.3254 13.4595 0.0000
0.0000 0.0000 7.7673
Sr In Au
4 6 10
direct
0.0213 0.9787 0.5000 Sr
0.3167 0.6833 0.6109 Sr
0.6833 0.3167 0.1109 Sr
0.9787 0.0213 0.0000 Sr
0.1130 0.8870 0.8238 In
0.2921 0.7079 0.1250 In
0.4454 0.5546 0.6745 In
0.5546 0.4454 0.1745 In
0.7079 0.2921 0.6250 In
0.8870 0.1130 0.3238 In
0.1111 0.8889 0.2451 Au
0.2107 0.7893 0.3932 Au
0.2171 0.7829 0.8488 Au
0.3899 0.6101 0.9970 Au
0.4514 0.5486 0.3035 Au
0.5486 0.4514 0.8035 Au
0.6101 0.3899 0.4970 Au
0.7829 0.2171 0.3488 Au
0.7893 0.2107 0.8932 Au
0.8889 0.1111 0.7451 Au

Entry 10:
LiTbSi2Pt5 | the Alexandria database | PBE | relaxed; formation energy without anion corrections = -8.08 eV per formula unit
1.0
4.0985 0.0000 0.0000
0.0000 4.0985 0.0000
0.0000 0.0000 9.1039
Li Tb Si Pt
1 1 2 5
direct
0.0000 0.0000 0.0000 Li
0.0000 0.0000 0.5000 Tb
0.5000 0.5000 0.1280 Si
0.5000 0.5000 0.8720 Si
0.0000 0.5000 0.2628 Pt
0.0000 0.5000 0.7372 Pt
0.5000 0.0000 0.2628 Pt
0.5000 0.0000 0.7372 Pt
0.5000 0.5000 0.5000 Pt

Entry 11:
Be2ZnP | the Alexandria database | PBE | relaxed; polymorph energy (0 for the lowest one) = 0.00 kJ/mol of atoms; energy of formation from the pure elements = 0.909 eV per formula unit
1.0
5.9625 0.0000 0.0000
0.0000 3.3916 0.0000
-1.5969 0.0000 5.3697
Be Zn P
4 2 2
direct
0.2182 0.0000 0.1780 Be
0.2818 0.5000 0.8220 Be
0.7182 0.5000 0.1780 Be
0.7818 0.0000 0.8220 Be
0.0000 0.0000 0.5000 Zn
0.5000 0.5000 0.5000 Zn
0.0000 0.5000 0.0000 P
0.5000 0.0000 0.0000 P

Entry 12:
HfTc2Ru | the Alexandria database | PBE | relaxed; polymorph energy (0 for the lowest one) = 0.00 kJ/mol of atoms; energy of formation from the pure elements = 0.057 eV per formula unit
1.0
6.3294 0.0000 0.0000
0.0000 6.3294 0.0000
0.0000 0.0000 6.3294
Hf Tc Ru
4 8 4
direct
0.0000 0.0000 0.0000 Hf
0.0000 0.5000 0.5000 Hf
0.5000 0.0000 0.5000 Hf
0.5000 0.5000 0.0000 Hf
0.2500 0.2500 0.2500 Tc
0.2500 0.2500 0.7500 Tc
0.2500 0.7500 0.2500 Tc
0.2500 0.7500 0.7500 Tc
0.7500 0.2500 0.2500 Tc
0.7500 0.2500 0.7500 Tc
0.7500 0.7500 0.2500 Tc
0.7500 0.7500 0.7500 Tc
0.0000 0.0000 0.5000 Ru
0.0000 0.5000 0.0000 Ru
0.5000 0.0000 0.0000 Ru
0.5000 0.5000 0.5000 Ru

Entry 13:
KGaPb | the Alexandria database | PBE | relaxed; energy of formation from the pure elements = 0.095 eV per formula unit
1.0
4.0626 0.0000 0.0000
0.0000 4.3485 0.0000
0.0000 0.0000 6.2429
K Ga Pb
1 1 1
direct
0.0000 0.0000 0.0000 K
0.0000 0.5000 0.5000 Ga
0.5000 0.0000 0.5000 Pb

Entry 14:
Na3CrAg | the Alexandria database | PBE | relaxed; polymorph energy (0 for the lowest one) = 17.54 kJ/mol of atoms; energy of formation from the pure elements = 4.227 eV per formula unit
1.0
5.7090 0.0000 0.0000
0.0000 5.7090 0.0000
0.0000 0.0000 5.7090
Na Cr Ag
3 1 1
direct
0.0000 0.0000 0.5000 Na
0.0000 0.5000 0.0000 Na
0.5000 0.0000 0.0000 Na
0.0000 0.0000 0.0000 Cr
0.5000 0.5000 0.5000 Ag

Entry 15:
GaSn3Cl7 | the Alexandria database | PBE | relaxed; formation energy without anion corrections = -9.79 eV per formula unit
1.0
4.6750 -5.2348 0.0000
4.6750 5.2348 0.0000
-3.1310 0.0000 6.7688
Ga Sn Cl
1 3 7
direct
0.0000 0.0000 0.0000 Ga
0.2672 0.7328 0.5000 Sn
0.5000 0.5000 0.0000 Sn
0.7328 0.2672 0.5000 Sn
0.0000 0.0000 0.5000 Cl
0.1251 0.5557 0.7616 Cl
0.3438 0.3438 0.2525 Cl
0.4443 0.8749 0.2384 Cl
0.5557 0.1251 0.7616 Cl
0.6562 0.6562 0.7475 Cl
0.8749 0.4443 0.2384 Cl

Entry 16:
TiBCl2 | the Alexandria database | PBE | relaxed; polymorph energy (0 for the lowest one) = 40.20 kJ/mol of atoms; formation energy without anion corrections = 2.31 eV per formula unit
1.0
6.6942 0.0000 0.0000
0.0000 6.6942 0.0000
0.0000 0.0000 9.1460
Ti B Cl
4 4 8
direct
0.0000 0.0000 0.0000 Ti
0.0000 0.5000 0.2500 Ti
0.5000 0.0000 0.7500 Ti
0.5000 0.5000 0.5000 Ti
0.0000 0.0000 0.5000 B
0.0000 0.5000 0.7500 B
0.5000 0.0000 0.2500 B
0.5000 0.5000 0.0000 B
0.1935 0.7500 0.1250 Cl
0.2500 0.1935 0.8750 Cl
0.2500 0.3065 0.3750 Cl
0.3065 0.7500 0.6250 Cl
0.6935 0.2500 0.6250 Cl
0.7500 0.6935 0.3750 Cl
0.7500 0.8065 0.8750 Cl
0.8065 0.2500 0.1250 Cl

Entry 17:
TaBH2 | the Alexandria database | PBE | relaxed; polymorph energy (0 for the lowest one) = 0.00 kJ/mol of atoms
1.0
3.2915 0.0000 0.0000
0.0000 3.2915 0.0000
0.0000 0.0000 11.6514
Ta B H
4 4 8
direct
0.0000 0.0000 0.0000 Ta
0.0000 0.5000 0.2500 Ta
0.5000 0.0000 0.7500 Ta
0.5000 0.5000 0.5000 Ta
0.0000 0.0000 0.5000 B
0.0000 0.5000 0.7500 B
0.5000 0.0000 0.2500 B
0.5000 0.5000 0.0000 B
0.2150 0.7500 0.6250 H
0.2500 0.2150 0.3750 H
0.2500 0.2850 0.8750 H
0.2850 0.7500 0.1250 H
0.7150 0.2500 0.1250 H
0.7500 0.7150 0.8750 H
0.7500 0.7850 0.3750 H
0.7850 0.2500 0.6250 H

Entry 18:
Ce2Ga4Sn2Rh | the Alexandria database | PBE | relaxed; energy of formation from the pure elements = -5.133 eV per formula unit
1.0
-3.2269 3.2269 4.6304
3.2269 -3.2269 4.6304
3.2269 3.2269 -4.6304
Ce Ga Sn Rh
2 4 2 1
direct
0.2500 0.7500 0.5000 Ce
0.7500 0.2500 0.5000 Ce
0.2248 0.2248 0.4497 Ga
0.2248 0.7752 0.0000 Ga
0.7752 0.2248 0.0000 Ga
0.7752 0.7752 0.5503 Ga
0.2161 0.2161 0.0000 Sn
0.7839 0.7839 0.0000 Sn
0.5000 0.5000 0.0000 Rh

Entry 19:
Pm3MgHg4 | the Alexandria database | PBE | relaxed; polymorph energy (0 for the lowest one) = 11.71 kJ/mol of atoms; energy of formation from the pure elements = -2.696 eV per formula unit
1.0
3.7668 0.0000 0.0000
0.0000 7.2024 0.0000
0.0000 0.0000 16.8537
Pm Mg Hg
6 2 8
direct
0.0000 0.0000 0.0000 Pm
0.0000 0.5000 0.2144 Pm
0.0000 0.5000 0.7856 Pm
0.5000 0.0000 0.2856 Pm
0.5000 0.0000 0.7144 Pm
0.5000 0.5000 0.5000 Pm
0.0000 0.0000 0.5000 Mg
0.5000 0.5000 0.0000 Mg
0.0000 0.2810 0.3763 Hg
0.0000 0.2810 0.6237 Hg
0.0000 0.7190 0.3763 Hg
0.0000 0.7190 0.6237 Hg
0.5000 0.2190 0.1237 Hg
0.5000 0.2190 0.8763 Hg
0.5000 0.7810 0.1237 Hg
0.5000 0.7810 0.8763 Hg

Entry 20:
Dy4Se | the Alexandria database | PBE | relaxed; formation energy without anion corrections = -2.20 eV per formula unit
1.0
5.4380 0.0000 0.0000
0.0000 5.4380 0.0000
0.0000 0.0000 5.4380
Dy Se
4 1
direct
0.0000 0.0000 0.0000 Dy
0.0000 0.5000 0.5000 Dy
0.5000 0.0000 0.5000 Dy
0.5000 0.5000 0.0000 Dy
0.5000 0.5000 0.5000 Se

Number 1: magnetic moment 0.000 μB/f.u.. Number 2: magnetic moment 0.001 μB/f.u.. Number 3: magnetic moment 0.000 μB/f.u.. Number 4: magnetic moment 0.000 μB/f.u.. Number 5: magnetic moment 0.000 μB/f.u.. Number 6: magnetic moment 0.000 μB/f.u.. Number 7: magnetic moment 0.000 μB/f.u.. Number 8: magnetic moment 0.001 μB/f.u.. Number 9: magnetic moment 0.000 μB/f.u.. Number 10: magnetic moment 0.000 μB/f.u.. Number 11: magnetic moment 0.000 μB/f.u.. Number 12: magnetic moment 0.001 μB/f.u.. Number 13: magnetic moment 0.000 μB/f.u.. Number 14: magnetic moment 5.605 μB/f.u.. Number 15: magnetic moment 0.000 μB/f.u.. Number 16: magnetic moment 3.000 μB/f.u.. Number 17: magnetic moment 0.000 μB/f.u.. Number 18: magnetic moment 1.825 μB/f.u.. Number 19: magnetic moment 0.000 μB/f.u.. Number 20: magnetic moment 0.007 μB/f.u..